1.
VASP calculation (PBE-GGA) on a relaxed structure of SiMoRu2.

Results
Calculated density = 8.80 Mg/m³
Space-group type = No. 160
Formation energy without anion corrections = -0.096 eV per atom

a = 4.9623 Å, b = 4.9623 Å, c = 4.9623 Å
α = 47.85°, β = 47.85°, γ = 47.85°
Last column: nearest neighbours and their distance in Å.
Atoms (fractional coordinates):
Si 0.0000 0.0000 0.0000  6 Ru 2.45-2.52, 1 Mo 2.58
Mo 0.1963 0.1963 0.1963  7 Ru 2.54-2.83, 1 Si 2.58
Ru 0.4075 0.4075 0.4075  3 Si 2.52, 1 Ru 2.62, 1 Mo 2.78
Ru 0.6067 0.6067 0.6067  3 Si 2.45, 3 Mo 2.54, 1 Ru 2.62

---

2.
VASP calculation (PBE-GGA) on a relaxed structure of TiSe3Br.

Results
Calculated density = 4.95 Mg/m³
Space-group type = No. 221
Formation energy without anion corrections = -0.203 eV per atom

a = 4.9642 Å, b = 4.9642 Å, c = 4.9642 Å
α = 90.00°, β = 90.00°, γ = 90.00°
Last column: nearest neighbours and their distance in Å.
Atoms (fractional coordinates):
Ti 0.0000 0.0000 0.0000  6 Se 2.48
Se 0.0000 0.0000 0.5000  2 Ti 2.48
Se 0.0000 0.5000 0.0000  2 Ti 2.48
Se 0.5000 0.0000 0.0000  2 Ti 2.48
Br 0.5000 0.5000 0.5000  12 Se 3.51

---

3.
VASP calculation (PBE-GGA) on a relaxed structure of Ga2HgPtPb.

Results
Calculated density = 9.20 Mg/m³
Space-group type = No. 123
Formation energy = -0.143 eV/atom

a = 4.8011 Å, b = 4.8011 Å, c = 5.8126 Å
α = 90.00°, β = 90.00°, γ = 90.00°
Last column: nearest neighbours and their distance in Å.
Atoms (fractional coordinates):
Ga 0.0000 0.5000 0.0000  2 Pt 2.40
Ga 0.5000 0.0000 0.0000  2 Pt 2.40
Hg 0.0000 0.0000 0.5000  4 Pb 3.39, 8 Ga 3.77
Pt 0.5000 0.5000 0.0000  4 Ga 2.40
Pb 0.5000 0.5000 0.5000  2 Pt 2.91

---

4.
VASP calculation (PBE-GGA) on a relaxed structure of KZn2Ag9.

Results
Calculated density = 8.31 Mg/m³
Space-group type = No. 191
Formation energy = 0.042 eV/atom

a = 9.4216 Å, b = 9.4216 Å, c = 2.9669 Å
α = 90.00°, β = 90.00°, γ = 120.00°
Last column: nearest neighbours and their distance in Å.
Atoms (fractional coordinates):
K 0.0000 0.0000 0.0000  2 K 2.97
Zn 0.3333 0.6667 0.0000  9 Ag 2.72-2.80, 2 Zn 2.97
Zn 0.6667 0.3333 0.0000  9 Ag 2.72-2.80, 2 Zn 2.97
Ag 0.0000 0.5000 0.0000  2 Zn 2.72, 10 Ag 2.96-2.97
Ag 0.1882 0.3763 0.5000  2 Zn 2.80, 8 Ag 2.96-3.07
Ag 0.1882 0.8118 0.5000  2 Zn 2.80, 8 Ag 2.96-3.07
Ag 0.3763 0.1882 0.5000  2 Zn 2.80, 8 Ag 2.96-3.07
Ag 0.5000 0.0000 0.0000  2 Zn 2.72, 10 Ag 2.96-2.97
Ag 0.5000 0.5000 0.0000  2 Zn 2.72, 10 Ag 2.96-2.97
Ag 0.6237 0.8118 0.5000  2 Zn 2.80, 8 Ag 2.96-3.07
Ag 0.8118 0.1882 0.5000  2 Zn 2.80, 8 Ag 2.96-3.07
Ag 0.8118 0.6237 0.5000  2 Zn 2.80, 8 Ag 2.96-3.07

---

5.
VASP calculation (PBE-GGA) on a relaxed structure of LiCe3Pr4S8.

Results
Calculated density = 5.51 Mg/m³
Space-group type = No. 166
Formation energy without anion corrections = -1.966 eV per atom

a = 8.1003 Å, b = 8.1003 Å, c = 8.1003 Å
α = 59.99°, β = 59.99°, γ = 59.99°
Last column: nearest neighbours and their distance in Å.
Atoms (fractional coordinates):
Li 0.0000 0.0000 0.0000  6 S 2.78
Ce 0.0000 0.5000 0.5000  6 S 2.84
Ce 0.5000 0.0000 0.5000  6 S 2.84
Ce 0.5000 0.5000 0.0000  6 S 2.84
Pr 0.0000 0.0000 0.5000  6 S 2.89
Pr 0.0000 0.5000 0.0000  6 S 2.89
Pr 0.5000 0.0000 0.0000  6 S 2.89
Pr 0.5000 0.5000 0.5000  6 S 2.94
S 0.2431 0.2431 0.7523  1 Li 2.78, 2 Ce 2.84, 3 Pr 2.89-2.94
S 0.2431 0.7523 0.2431  1 Li 2.78, 2 Ce 2.84, 3 Pr 2.89-2.94
S 0.2477 0.7569 0.7569  1 Li 2.78, 2 Ce 2.84, 3 Pr 2.89-2.94
S 0.2522 0.2522 0.2522  3 Ce 2.84, 3 Pr 2.89
S 0.7478 0.7478 0.7478  3 Ce 2.84, 3 Pr 2.89
S 0.7523 0.2431 0.2431  1 Li 2.78, 2 Ce 2.84, 3 Pr 2.89-2.94
S 0.7569 0.2477 0.7569  1 Li 2.78, 2 Ce 2.84, 3 Pr 2.89-2.94
S 0.7569 0.7569 0.2477  1 Li 2.78, 2 Ce 2.84, 3 Pr 2.89-2.94

---

6.
VASP calculation (PBE-GGA) on a relaxed structure of BaNdSb2.

Results
Calculated density = 5.73 Mg/m³
Space-group type = No. 166
Formation energy without anion corrections = -0.966 eV per atom

a = 8.5403 Å, b = 8.5403 Å, c = 8.5403 Å
α = 31.64°, β = 31.64°, γ = 31.64°
Last column: nearest neighbours and their distance in Å.
Atoms (fractional coordinates):
Ba 0.0000 0.0000 0.0000  6 Sb 3.52
Nd 0.5000 0.5000 0.5000  6 Sb 3.22
Sb 0.2397 0.2397 0.2397  3 Nd 3.22, 3 Ba 3.52
Sb 0.7603 0.7603 0.7603  3 Nd 3.22, 3 Ba 3.52

---

7.
VASP calculation (PBE-GGA) on a relaxed structure of TbZr3Rh4.

Results
Calculated density = 9.17 Mg/m³
Space-group type = No. 166
Formation energy = -0.776 eV/atom

a = 8.7392 Å, b = 8.7392 Å, c = 8.7392 Å
α = 30.54°, β = 30.54°, γ = 30.54°
Last column: nearest neighbours and their distance in Å.
Atoms (fractional coordinates):
Tb 0.0000 0.0000 0.0000  8 Rh 3.06-3.29, 6 Zr 3.40
Zr 0.2484 0.2484 0.2484  7 Rh 2.73-2.91
Zr 0.5000 0.5000 0.5000  8 Rh 2.66-2.80
Zr 0.7516 0.7516 0.7516  7 Rh 2.73-2.91
Rh 0.1319 0.1319 0.1319  7 Zr 2.80-2.91
Rh 0.3937 0.3937 0.3937  4 Zr 2.66-2.73
Rh 0.6063 0.6063 0.6063  4 Zr 2.66-2.73
Rh 0.8681 0.8681 0.8681  7 Zr 2.80-2.91

---

8.
VASP calculation (PBE-GGA) on a relaxed structure of ZnHPt2Rh.

Results
Calculated density = 14.89 Mg/m³
Space-group type = No. 123
Energy = -4.987 eV/atom

a = 3.9604 Å, b = 3.9604 Å, c = 3.9777 Å
α = 90.00°, β = 90.00°, γ = 90.00°
Last column: nearest neighbours and their distance in Å.
Atoms (fractional coordinates):
Zn 0.0000 0.0000 0.0000  4 Rh 2.80, 8 Pt 2.81
H 0.5000 0.5000 0.5000  4 Pt 1.98, 2 Rh 1.99
Pt 0.0000 0.5000 0.5000  2 H 1.98
Pt 0.5000 0.0000 0.5000  2 H 1.98
Rh 0.5000 0.5000 0.0000  2 H 1.99

---

9.
VASP calculation (PBE-GGA) on a relaxed structure of SrNi2TePt.

Results
Calculated density = 6.40 Mg/m³
Space-group type = No. 123
Formation energy without anion corrections = 0.464 eV per atom

a = 4.6570 Å, b = 4.6570 Å, c = 6.3147 Å
α = 90.00°, β = 90.00°, γ = 90.00°
Last column: nearest neighbours and their distance in Å.
Atoms (fractional coordinates):
Sr 0.0000 0.0000 0.0000  2 Te 3.16, 4 Pt 3.29
Ni 0.0000 0.5000 0.5000  2 Te 2.33
Ni 0.5000 0.0000 0.5000  2 Te 2.33
Te 0.0000 0.0000 0.5000  4 Ni 2.33
Pt 0.5000 0.5000 0.0000  4 Sr 3.29

---

10.
VASP calculation (PBE-GGA) on a relaxed structure of K2RbAgGe.

Results
Calculated density = 2.05 Mg/m³
Space-group type = No. 123
Formation energy = 0.794 eV/atom

a = 6.9504 Å, b = 6.9504 Å, c = 5.7795 Å
α = 90.00°, β = 90.00°, γ = 90.00°
Last column: nearest neighbours and their distance in Å.
Atoms (fractional coordinates):
K 0.0000 0.5000 0.0000  2 Rb 3.48
K 0.5000 0.0000 0.0000  2 Rb 3.48
Rb 0.0000 0.0000 0.0000  2 Ge 2.89
Ag 0.5000 0.5000 0.5000  8 K 4.52, 4 Ge 4.91
Ge 0.0000 0.0000 0.5000  2 Rb 2.89

---

11.
VASP calculation (PBE-GGA) on a relaxed structure of CaSbSe3.

Results
Calculated density = 4.50 Mg/m³
Space-group type = No. 148
Formation energy without anion corrections = -0.790 eV per atom

a = 7.7248 Å, b = 7.7248 Å, c = 7.7248 Å
α = 55.82°, β = 55.82°, γ = 55.82°
Last column: nearest neighbours and their distance in Å.
Atoms (fractional coordinates):
Ca 0.1401 0.1401 0.1401  6 Se 2.92-3.03
Ca 0.8599 0.8599 0.8599  6 Se 2.92-3.03
Sb 0.3384 0.3384 0.3384  6 Se 2.77-2.86
Sb 0.6616 0.6616 0.6616  6 Se 2.77-2.86
Se 0.0623 0.4683 0.7214  2 Sb 2.77-2.86, 2 Ca 2.92-3.03
Se 0.2786 0.9377 0.5317  2 Sb 2.77-2.86, 2 Ca 2.92-3.03
Se 0.4683 0.7214 0.0623  2 Sb 2.77-2.86, 2 Ca 2.92-3.03
Se 0.5317 0.2786 0.9377  2 Sb 2.77-2.86, 2 Ca 2.92-3.03
Se 0.7214 0.0623 0.4683  2 Sb 2.77-2.86, 2 Ca 2.92-3.03
Se 0.9377 0.5317 0.2786  2 Sb 2.77-2.86, 2 Ca 2.92-3.03

---

12.
VASP calculation (PBE-GGA) on a relaxed structure of K2CaBr.

Results
Calculated density = 1.64 Mg/m³
Space-group type = No. 225
Formation energy without anion corrections = -0.286 eV per atom

a = 6.5771 Å, b = 6.5771 Å, c = 6.5771 Å
α = 60.00°, β = 60.00°, γ = 60.00°
Last column: nearest neighbours and their distance in Å.
Atoms (fractional coordinates):
K 0.2500 0.2500 0.2500  4 Br 4.03, 4 Ca 4.03
K 0.7500 0.7500 0.7500  4 Br 4.03, 4 Ca 4.03
Ca 0.0000 0.0000 0.0000  8 K 4.03
Br 0.5000 0.5000 0.5000  8 K 4.03

---

13.
VASP calculation (PBE-GGA) on a relaxed structure of Ta3Fe.

Results
Calculated density = 15.03 Mg/m³
Space-group type = No. 59
Formation energy = 0.190 eV/atom

a = 4.7282 Å, b = 5.3175 Å, c = 5.2633 Å
α = 90.00°, β = 90.00°, γ = 90.00°
Last column: nearest neighbours and their distance in Å.
Atoms (fractional coordinates):
Ta 0.2500 0.0024 0.1377  5 Ta 2.63-2.84, 3 Fe 2.85-2.92
Ta 0.2500 0.4976 0.1377  5 Ta 2.63-2.84, 3 Fe 2.85-2.92
Ta 0.2500 0.7500 0.6123  4 Fe 2.67-2.76, 2 Ta 2.84
Ta 0.7500 0.2500 0.3877  4 Fe 2.67-2.76, 2 Ta 2.84
Ta 0.7500 0.5024 0.8623  5 Ta 2.63-2.84, 3 Fe 2.85-2.92
Ta 0.7500 0.9976 0.8623  5 Ta 2.63-2.84, 3 Fe 2.85-2.92
Fe 0.2500 0.2500 0.6580  10 Ta 2.67-2.92
Fe 0.7500 0.7500 0.3420  10 Ta 2.67-2.92

---

14.
VASP calculation (PBE-GGA) on a relaxed structure of KBa2Sr.

Results
Calculated density = 2.62 Mg/m³
Space-group type = No. 139
Formation energy = 0.093 eV/atom

a = 7.7673 Å, b = 7.7673 Å, c = 7.7673 Å
α = 131.86°, β = 131.86°, γ = 70.45°
Last column: nearest neighbours and their distance in Å.
Atoms (fractional coordinates):
K 0.0000 0.0000 0.0000  4 Sr 4.48, 8 Ba 4.48
Ba 0.2500 0.7500 0.5000  4 Ba 4.48, 4 K 4.48, 4 Sr 4.48
Ba 0.7500 0.2500 0.5000  4 Ba 4.48, 4 K 4.48, 4 Sr 4.48
Sr 0.5000 0.5000 0.0000  4 K 4.48, 8 Ba 4.48

---

15.
VASP calculation (PBE-GGA) on a relaxed structure of SrAcUN4.

Results
Calculated density = 8.33 Mg/m³
Space-group type = No. 63
Formation energy without anion corrections = -1.082 eV per atom

a = 7.2237 Å, b = 7.2237 Å, c = 6.0903 Å
α = 90.00°, β = 90.00°, γ = 130.25°
Last column: nearest neighbours and their distance in Å.
Atoms (fractional coordinates):
Sr 0.1039 0.8961 0.7500  5 N 2.57-2.88
Sr 0.8961 0.1039 0.2500  5 N 2.57-2.88
Ac 0.3956 0.6044 0.7500  1 N 2.51
Ac 0.6044 0.3956 0.2500  1 N 2.51
U 0.2497 0.7503 0.2500  6 N 2.06-2.15
U 0.7503 0.2497 0.7500  6 N 2.06-2.15
N 0.0000 0.5000 0.0000  2 U 2.15
N 0.0000 0.5000 0.5000  2 U 2.15
N 0.0924 0.9076 0.2500  1 U 2.06
N 0.4132 0.5868 0.2500  1 U 2.14
N 0.5000 0.0000 0.0000  2 U 2.15
N 0.5000 0.0000 0.5000  2 U 2.15
N 0.5868 0.4132 0.7500  1 U 2.14
N 0.9076 0.0924 0.7500  1 U 2.06

---

16.
VASP calculation (PBE-GGA) on a relaxed structure of LiPtRh2.

Results
Calculated density = 12.20 Mg/m³
Space-group type = No. 119
Formation energy = -0.208 eV/atom

a = 4.6629 Å, b = 4.6629 Å, c = 4.6629 Å
α = 131.61°, β = 131.61°, γ = 70.85°
Last column: nearest neighbours and their distance in Å.
Atoms (fractional coordinates):
Li 0.0000 0.0000 0.0000  8 Rh 2.69-2.70, 4 Pt 2.69
Pt 0.2500 0.7500 0.5000  8 Rh 2.69-2.70, 4 Li 2.69
Rh 0.5000 0.5000 0.0000  4 Rh 2.69, 4 Pt 2.69, 4 Li 2.70
Rh 0.7500 0.2500 0.5000  4 Rh 2.69, 4 Li 2.69, 4 Pt 2.70